A relaxed structure of LiTb5Tl4. Source: Alexandria, functional PBE.

Structure (POSCAR):
```
LiTb5Tl4
1.0
-2.7825 2.3640 -0.0282
-2.3195 -2.7382 -0.6735
-2.5442 -2.7562 19.9665
Li Tb Tl
1 5 4
direct
0.0000 0.0000 0.0000
0.5000 0.5000 0.7053
0.5000 0.5000 0.0935
0.5000 0.5000 0.5000
0.5000 0.5000 0.2947
0.5000 0.5000 0.9065
0.0000 0.0000 0.3971
0.0000 0.0000 0.1907
0.0000 0.0000 0.8093
0.0000 0.0000 0.6029
```

Computed properties:
Uncorrected energy   -3.73 eV per atom
DOS at the Fermi energy   6.694 states/eV per cell
Total magnetic moment   0.01 μB per formula unit



A relaxed structure of DyEr4Sc. Source: Alexandria, functional PBE.

Structure (POSCAR):
```
DyEr4Sc
1.0
5.6050 0.5232 0.0018
-0.3170 3.3958 0.0007
-0.0043 -0.0014 9.6233
Dy Er Sc
1 4 1
direct
0.9973 0.0013 0.5019
0.4974 0.0013 0.6984
0.9974 0.5013 0.8188
0.4972 0.0013 0.3053
0.9971 0.5013 0.1849
0.4973 0.5013 0.0019
```

Computed properties:
Relative energy among the computed polymorphs   55 meV/atom
Uncorrected energy   -4.67 eV per atom
DOS at the Fermi energy   11.648 states/eV per cell
Total magnetic moment   0.00 μB per formula unit